DFT (GGA+U) results for a relaxed Pa2TiFeO8 crystal.

a b c (Å): 4.7750 4.7746 7.0688
angles (deg): 89.99 89.99 91.22
Sites, in units of the cell vectors:
1 Pa 0.5004 0.5004 0.2490
2 O 0.8096 0.1897 0.2177
3 Ti 0.0000 0.0000 0.0000
4 O 0.3018 0.3018 0.4997
5 O 0.1904 0.8103 0.7823
6 O 0.7040 0.7040 0.9997
7 Fe 0.0000 0.0000 0.5000
8 O 0.8104 0.1904 0.7823
9 O 0.6982 0.6982 0.5003
10 O 0.2960 0.2960 0.0003
11 Pa 0.4996 0.4996 0.7510
12 O 0.1896 0.8096 0.2177

Calculated values
The symmetry is Cmmm, No. 65. The calculated total energy comes out at -108.6 eV/cell. As for the magnetic moment: 4.0 μB per formula unit. As for the crystal system: orthorhombic.